This record from Alexandria via LeMat-Bulk describes an optimized crystal structure of Ca3LaMo. The functional is PBE-GGA.

CIF file:
```
data_Ca3LaMo
_symmetry_space_group_name_H-M 'P 1'
_symmetry_Int_Tables_number 1
_cell_length_a 5.663
_cell_length_b 5.663
_cell_length_c 5.663
_cell_angle_alpha 90.00
_cell_angle_beta 90.00
_cell_angle_gamma 90.00
loop_
_symmetry_equiv_pos_as_xyz
'x,y,z'
loop_
_atom_site_label
_atom_site_type_symbol
_atom_site_fract_x
_atom_site_fract_y
_atom_site_fract_z
Ca1 Ca 0.000 0.000 0.500
Ca2 Ca 0.000 0.500 0.000
Ca3 Ca 0.500 0.000 0.000
La1 La 0.500 0.500 0.500
Mo1 Mo 0.000 0.000 0.000
```

Calculated values
As for the total energy: -3.635 eV/atom. The formation enthalpy at 0 K comes out at 718 meV per atom. Its magnetization is 2.44 μB/cell. As for the energy above the most stable polymorph in this dataset: 0.0 meV/atom. Its space-group type is Pm-3m.